Run i
4
Lattice="4.422 0.000 0.000 0.000 2.121 5.741 0.000 -2.121 5.741" Properties=species:S:1:pos:R:3 comment="Pr2NiSn (GGA-PBE, relaxed)" sg="Amm2, No. 38" pbc="T T T"
Pr 0.000 0.000 0.000
Pr 2.211 0.000 3.266
Ni 0.000 0.000 8.318
Sn 2.211 0.000 6.602

Run ii
4
Lattice="5.045 0.000 0.000 0.000 5.045 0.000 0.000 0.000 4.131" Properties=species:S:1:pos:R:3 comment="Pr2NiSn (GGA-PBE, relaxed)" sg="P4/mmm, No. 123" pbc="T T T"
Pr 0.000 2.523 0.000
Pr 2.523 0.000 0.000
Ni 0.000 0.000 2.066
Sn 2.523 2.523 2.066

The most stable of them is run i.

Run i
12
Lattice="2.115 -7.862 0.000 2.115 7.862 0.000 0.000 0.000 11.640" Properties=species:S:1:pos:R:3 comment="PrTlNiTe3 (GGA-PBE, relaxed)" sg="Cmcm, No. 63" pbc="T T T"
Pr 0.000 0.000 0.000
Pr 0.000 0.000 5.820
Tl 2.115 3.869 8.730
Tl 2.115 -3.869 2.910
Ni 2.115 0.401 2.910
Ni 2.115 -0.401 8.730
Te 2.115 6.738 2.910
Te 2.115 2.128 1.013
Te 2.115 2.128 4.807
Te 2.115 -2.128 6.834
Te 2.115 -2.128 10.627
Te 2.115 -6.738 8.730

Run ii
24
Lattice="12.753 0.000 0.000 0.000 4.327 0.000 0.000 0.000 12.932" Properties=species:S:1:pos:R:3 comment="PrTlNiTe3 (GGA-PBE, relaxed)" sg="Pnma, No. 62" pbc="T T T"
Pr 0.532 1.082 2.463
Pr 5.844 3.245 8.929
Pr 6.909 1.082 4.003
Pr 12.221 3.245 10.469
Tl 2.490 1.082 6.480
Tl 3.887 3.245 0.014
Tl 8.866 1.082 12.918
Tl 10.263 3.245 6.452
Ni 3.004 3.245 4.065
Ni 3.373 1.082 10.531
Ni 9.380 3.245 2.401
Ni 9.749 1.082 8.867
Te 0.534 3.245 4.732
Te 1.289 1.082 12.090
Te 2.672 3.245 9.368
Te 3.704 1.082 2.902
Te 5.088 3.245 5.624
Te 5.842 1.082 11.198
Te 6.911 3.245 1.734
Te 7.665 1.082 7.308
Te 9.049 3.245 10.030
Te 10.081 1.082 3.564
Te 11.464 3.245 0.842
Te 12.219 1.082 8.200

The most stable of them is run ii.

Run i
9
Lattice="8.639 0.000 0.000 -4.319 7.481 0.000 0.000 0.000 3.923" Properties=species:S:1:pos:R:3 comment="Pr3Y3NiTe2 (GGA-PBE, relaxed)" sg="P-62m, No. 189" pbc="T T T"
Pr -3.270 5.664 0.000
Pr 1.049 1.817 0.000
Pr 6.541 0.000 0.000
Y -1.773 3.071 1.961
Y 3.546 0.000 1.961
Y 2.546 4.410 1.961
Ni 0.000 0.000 1.961
Te 0.000 4.988 0.000
Te 4.319 2.494 0.000

Run ii
9
Lattice="8.523 0.000 0.000 -4.261 7.381 0.000 0.000 0.000 4.058" Properties=species:S:1:pos:R:3 comment="Pr3Y3NiTe2 (GGA-PBE, relaxed)" sg="P-62m, No. 189" pbc="T T T"
Pr -1.728 2.992 0.000
Pr 3.455 0.000 0.000
Pr 2.534 4.388 0.000
Y -3.254 5.635 2.029
Y 1.008 1.745 2.029
Y 6.507 0.000 2.029
Ni 0.000 0.000 0.000
Te 0.000 4.920 2.029
Te 4.261 2.460 2.029

The most stable of them is run ii.